# 1
A relaxed structure of AgPW. Source: the Alexandria database, functional GGA-PBE.

Unit cell a=4.096 b=4.096 c=3.462 alpha=90.00 beta=90.00 gamma=120.00
Atoms (fractional coordinates):
1 Ag 0.000 0.000 0.000
2 P 0.333 0.667 0.500
3 W 0.667 0.333 0.500

## Properties
Final energy ... -6.66 eV per atom
Symmetry ... No. 187
Calculated formation energy ... 0.41 eV/atom

***

# 2
A relaxed structure of AgPW. Source: the Alexandria database, functional GGA-PBE.

Unit cell a=4.122 b=4.122 c=4.122 alpha=60.00 beta=60.00 gamma=60.00
Atoms (fractional coordinates):
1 Ag 0.000 0.000 0.000
2 P 0.250 0.250 0.250
3 W 0.500 0.500 0.500

## Properties
Final energy ... -6.57 eV per atom
Symmetry ... No. 216
Calculated formation energy ... 0.50 eV/atom

***

# 3
A relaxed structure of Ag4PW. Source: the Alexandria database, functional GGA-PBE.

Unit cell a=5.400 b=5.400 c=5.400 alpha=60.00 beta=60.00 gamma=60.00
Atoms (fractional coordinates):
1 Ag 0.125 0.125 0.125
2 Ag 0.125 0.125 0.626
3 Ag 0.125 0.626 0.125
4 Ag 0.626 0.125 0.125
5 P 0.500 0.500 0.500
6 W 0.750 0.750 0.750

## Properties
Final energy ... -3.98 eV per atom
Symmetry ... No. 216
Calculated formation energy ... 0.98 eV/atom

***

# 4
A relaxed structure of YAgP4. Source: the Alexandria database, functional GGA-PBE.

Unit cell a=5.274 b=5.274 c=5.274 alpha=60.00 beta=60.00 gamma=60.00
Atoms (fractional coordinates):
1 Y 0.000 0.000 0.000
2 Ag 0.750 0.750 0.750
3 P 0.381 0.381 0.381
4 P 0.381 0.381 0.857
5 P 0.381 0.857 0.381
6 P 0.857 0.381 0.381

## Properties
Final energy ... -5.14 eV per atom
Symmetry ... No. 216
Calculated formation energy ... 0.02 eV/atom

***

# 5
A relaxed structure of Y4AgP. Source: the Alexandria database, functional GGA-PBE.

Unit cell a=6.174 b=6.174 c=6.174 alpha=60.00 beta=60.00 gamma=60.00
Atoms (fractional coordinates):
1 Y 0.125 0.125 0.125
2 Y 0.125 0.125 0.624
3 Y 0.125 0.624 0.125
4 Y 0.624 0.125 0.125
5 Ag 0.750 0.750 0.750
6 P 0.500 0.500 0.500

## Properties
Final energy ... -5.19 eV per atom
Symmetry ... No. 216
Calculated formation energy ... 0.50 eV/atom

***

# 6
A relaxed structure of YAg3P. Source: the Alexandria database, functional GGA-PBE.

Unit cell a=5.369 b=5.369 c=5.369 alpha=90.00 beta=90.00 gamma=90.00
Atoms (fractional coordinates):
1 Y 0.000 0.000 0.000
2 Ag 0.000 0.000 0.500
3 Ag 0.000 0.500 0.000
4 Ag 0.500 0.000 0.000
5 P 0.500 0.500 0.500

## Properties
Final energy ... -2.68 eV per atom
Symmetry ... No. 221
Calculated formation energy ... 1.41 eV/atom

***

# 7
A relaxed structure of YAgP. Source: the Alexandria database, functional GGA-PBE.

Unit cell a=6.948 b=3.980 c=8.543 alpha=90.00 beta=90.00 gamma=90.00
Atoms (fractional coordinates):
1 Y 0.041 0.250 0.177
2 Y 0.459 0.750 0.677
3 Y 0.541 0.250 0.323
4 Y 0.959 0.750 0.823
5 Ag 0.140 0.250 0.556
6 Ag 0.360 0.750 0.056
7 Ag 0.640 0.250 0.944
8 Ag 0.860 0.750 0.444
9 P 0.250 0.250 0.867
10 P 0.250 0.750 0.367
11 P 0.750 0.250 0.633
12 P 0.750 0.750 0.133

## Properties
Final energy ... -5.67 eV per atom
Symmetry ... No. 62
Calculated formation energy ... -0.76 eV/atom

***

# 8
A relaxed structure of YAg2P. Source: the Alexandria database, functional GGA-PBE.

Unit cell a=9.248 b=9.248 c=9.248 alpha=20.25 beta=20.25 gamma=20.25
Atoms (fractional coordinates):
1 Y 0.000 0.000 0.000
2 Ag 0.239 0.239 0.239
3 Ag 0.761 0.761 0.761
4 P 0.500 0.500 0.500

## Properties
Final energy ... -4.14 eV per atom
Symmetry ... No. 166
Calculated formation energy ... 0.25 eV/atom

***

# 9
A relaxed structure of YAgP. Source: the Alexandria database, functional GGA-PBE.

Unit cell a=4.232 b=4.232 c=3.928 alpha=90.00 beta=90.00 gamma=120.00
Atoms (fractional coordinates):
1 Y 0.000 0.000 0.000
2 Ag 0.667 0.333 0.500
3 P 0.333 0.667 0.500

## Properties
Final energy ... -5.62 eV per atom
Symmetry ... No. 187
Calculated formation energy ... -0.71 eV/atom

***

# 10
A relaxed structure of Y2AgP2. Source: the Alexandria database, functional GGA-PBE.

Unit cell a=7.478 b=7.478 c=3.742 alpha=90.00 beta=90.00 gamma=90.00
Atoms (fractional coordinates):
1 Y 0.157 0.343 0.000
2 Y 0.343 0.843 0.000
3 Y 0.657 0.157 0.000
4 Y 0.843 0.657 0.000
5 Ag 0.000 0.000 0.500
6 Ag 0.500 0.500 0.500
7 P 0.154 0.654 0.500
8 P 0.346 0.154 0.500
9 P 0.654 0.846 0.500
10 P 0.846 0.346 0.500

## Properties
Final energy ... -6.32 eV per atom
Symmetry ... No. 127
Calculated formation energy ... -1.00 eV/atom

***

# 11
A relaxed structure of YAgP. Source: the Alexandria database, functional GGA-PBE.

Unit cell a=4.690 b=4.690 c=4.690 alpha=60.00 beta=60.00 gamma=60.00
Atoms (fractional coordinates):
1 Y 0.000 0.000 0.000
2 Ag 0.250 0.250 0.250
3 P 0.750 0.750 0.750

## Properties
Final energy ... -5.29 eV per atom
Symmetry ... No. 216
Calculated formation energy ... -0.38 eV/atom

***

# 12
A relaxed structure of YAg2P. Source: the Alexandria database, functional GGA-PBE.

Unit cell a=5.954 b=5.954 c=5.954 alpha=41.77 beta=41.77 gamma=41.77
Atoms (fractional coordinates):
1 Y 0.000 0.000 0.000
2 Ag 0.220 0.220 0.220
3 Ag 0.470 0.470 0.470
4 P 0.752 0.752 0.752

## Properties
Final energy ... -4.77 eV per atom
Symmetry ... No. 160
Calculated formation energy ... -0.38 eV/atom

***

# 13
A relaxed structure of YAg2P. Source: the Alexandria database, functional GGA-PBE.

Unit cell a=5.801 b=5.801 c=5.801 alpha=139.69 beta=139.69 gamma=58.33
Atoms (fractional coordinates):
1 Y 0.000 0.000 0.000
2 Ag 0.250 0.750 0.500
3 Ag 0.750 0.250 0.500
4 P 0.500 0.500 0.000

## Properties
Final energy ... -4.81 eV per atom
Symmetry ... No. 139
Calculated formation energy ... -0.41 eV/atom

***

# 14
A relaxed structure of YAg3P. Source: the Alexandria database, functional GGA-PBE.

Unit cell a=4.799 b=4.799 c=4.799 alpha=90.00 beta=90.00 gamma=90.00
Atoms (fractional coordinates):
1 Y 0.000 0.000 0.000
2 Ag 0.000 0.500 0.500
3 Ag 0.500 0.000 0.500
4 Ag 0.500 0.500 0.000
5 P 0.500 0.500 0.500

## Properties
Final energy ... -3.93 eV per atom
Symmetry ... No. 221
Calculated formation energy ... 0.16 eV/atom

***

# 15
A relaxed structure of YAg2P. Source: the Alexandria database, functional GGA-PBE.

Unit cell a=3.863 b=3.863 c=6.019 alpha=90.00 beta=90.00 gamma=90.00
Atoms (fractional coordinates):
1 Y 0.000 0.000 0.000
2 Ag 0.000 0.000 0.502
3 Ag 0.500 0.500 0.375
4 P 0.500 0.500 0.940

## Properties
Final energy ... -4.77 eV per atom
Symmetry ... No. 99
Calculated formation energy ... -0.38 eV/atom

***

# 16
A relaxed structure of YAg2P. Source: the Alexandria database, functional GGA-PBE.

Unit cell a=3.827 b=5.888 c=5.888 alpha=38.35 beta=90.00 gamma=90.00
Atoms (fractional coordinates):
1 Y 0.000 0.000 0.000
2 Ag 0.000 0.725 0.725
3 Ag 0.500 0.313 0.313
4 P 0.500 0.554 0.554

## Properties
Final energy ... -4.92 eV per atom
Symmetry ... No. 38
Calculated formation energy ... -0.53 eV/atom

***

# 17
A relaxed structure of YAgP. Source: the Alexandria database, functional GGA-PBE.

Unit cell a=5.454 b=5.454 c=5.454 alpha=139.47 beta=139.47 gamma=58.65
Atoms (fractional coordinates):
1 Y 0.000 0.000 0.000
2 Ag 0.690 0.690 0.000
3 P 0.408 0.408 0.000

## Properties
Final energy ... -5.37 eV per atom
Symmetry ... No. 107
Calculated formation energy ... -0.47 eV/atom

***

# 18
A relaxed structure of YAg2P. Source: the Alexandria database, functional GGA-PBE.

Unit cell a=6.112 b=6.112 c=3.907 alpha=96.55 beta=96.55 gamma=36.92
Atoms (fractional coordinates):
1 Y 0.000 0.000 0.000
2 Ag 0.286 0.286 0.259
3 Ag 0.714 0.714 0.741
4 P 0.500 0.500 0.500

## Properties
Final energy ... -4.89 eV per atom
Symmetry ... No. 12
Calculated formation energy ... -0.49 eV/atom

***

# 19
A relaxed structure of YAg2P. Source: the Alexandria database, functional GGA-PBE.

Unit cell a=11.290 b=11.290 c=11.290 alpha=159.86 beta=159.86 gamma=28.63
Atoms (fractional coordinates):
1 Y 0.000 0.000 0.000
2 Y 0.750 0.250 0.500
3 Ag 0.133 0.625 0.008
4 Ag 0.375 0.383 0.508
5 Ag 0.617 0.125 0.992
6 Ag 0.875 0.867 0.492
7 P 0.250 0.750 0.500
8 P 0.500 0.500 0.000

## Properties
Final energy ... -4.80 eV per atom
Symmetry ... No. 122
Calculated formation energy ... -0.40 eV/atom

***

# 20
A relaxed structure of YAg2P. Source: the Alexandria database, functional GGA-PBE.

Unit cell a=3.891 b=3.891 c=5.539 alpha=90.00 beta=90.00 gamma=90.00
Atoms (fractional coordinates):
1 Y 0.000 0.000 0.000
2 Ag 0.500 0.500 0.257
3 Ag 0.500 0.500 0.743
4 P 0.000 0.000 0.500

## Properties
Final energy ... -4.61 eV per atom
Symmetry ... No. 123
Calculated formation energy ... -0.22 eV/atom